A relaxed structure of AcSnBi, computed with PBE.

a b c (Å): 6.421 6.421 5.894
angles (deg): 90.00 90.00 125.05
Fractional positions:
Ac 0.248 0.752 0.750
Ac 0.752 0.248 0.250
Sn 0.059 0.941 0.250
Sn 0.941 0.059 0.750
Bi 0.436 0.564 0.250
Bi 0.564 0.436 0.750

## Properties
Space-group type: Cmcm (63)
E_tot (eV per atom): -4.44



A relaxed structure of Ac7Sn2Bi2, computed with PBE.

a b c (Å): 7.950 7.950 7.653
angles (deg): 90.00 90.00 100.02
Fractional positions:
Ac 0.000 0.000 0.000
Ac 0.000 0.500 0.269
Ac 0.000 0.500 0.731
Ac 0.500 0.000 0.269
Ac 0.500 0.000 0.731
Ac 0.500 0.500 0.255
Ac 0.500 0.500 0.745
Sn 0.275 0.725 0.000
Sn 0.725 0.275 0.000
Bi 0.195 0.195 0.500
Bi 0.805 0.805 0.500

## Properties
Space-group type: Cmmm (65)
E_tot (eV per atom): -4.39



Calculated DFT formation energy, -42, -33 kJ/mol of atoms (same order as the records).
Calculated DOS(E_F), 0.858, 1.353 states/eV/atom (same order as the records).